No. 1
Crystalline Ac6SnTe8 at its relaxed geometry, computed with PBE-GGA.

For the density of states at the Fermi level, the calculation gives 17.66 states/eV per cell. For the uncorrected formation energy, the calculation gives -1361 meV/atom.

The structure belongs to space group Fm-3m (No. 225); the cell edges are 13.3486, 13.3486 and 13.3486 Å and the angles 90.00°, 90.00° and 90.00°. Symmetry generates all atoms from Ac at (0.0000, 0.2500, 0.2500), Sn at (0.0000, 0.0000, 0.0000), Te at (0.0000, 0.0000, 0.2439) and Te at (0.2500, 0.2500, 0.2500).


No. 2
Crystalline Ac3SnTe at its relaxed geometry, computed with PBE-GGA.

For the density of states at the Fermi level, the calculation gives 36.11 states/eV per cell. For the uncorrected formation energy, the calculation gives -730 meV/atom.

The structure belongs to space group C2/c (No. 15); the cell edges are 16.6243, 12.8042 and 8.0011 Å and the angles 90.00°, 106.17° and 90.00°. Symmetry generates all atoms from Ac at (0.0993, 0.0512, 0.4082), Ac at (0.1118, 0.2391, 0.9735), Ac at (0.1515, 0.4013, 0.5359), Sn at (0.2386, 0.1260, 0.7619), Te at (0.0000, 0.2699, 0.2500) and Te at (0.0000, 0.4340, 0.7500).